AcPmTe: optimized geometry, GGA-PBE.

a b c (Å): 4.2469 5.4170 5.4170
angles (deg): 120.00 90.00 90.00
With the nearest neighbours (Å) after each atom.
Element x y z (fractional)
1 Ac 0.3326 0.3333 0.6667  6 Te 3.78-3.79, 6 Pm 3.78
2 Te 0.8347 0.0000 0.0000  3 Pm 3.13
3 Pm 0.8327 0.6667 0.3333  3 Te 3.13

Calculated values
Density of states at the Fermi level, states/eV/f.u.: 4.3
ρ, g/cm³: 7.69
Crystal system: trigonal
Calculated total energy, eV/atom: -4.585



Rb3LiTa: optimized geometry, GGA-PBE.

a b c (Å): 7.0549 7.0549 7.0549
angles (deg): 90.00 90.00 90.00
With the nearest neighbours (Å) after each atom.
Element x y z (fractional)
1 Li 0.5000 0.5000 0.5000  12 Rb 4.99
2 Rb 0.0000 0.5000 0.0000  2 Ta 3.53
3 Rb 0.0000 0.0000 0.5000  2 Ta 3.53
4 Rb 0.5000 0.0000 0.0000  2 Ta 3.53
5 Ta 0.0000 0.0000 0.0000  6 Rb 3.53

Calculated values
Density of states at the Fermi level, states/eV/f.u.: 0.7
DFT formation energy, eV/atom: 1.350
ρ, g/cm³: 2.10
Crystal system: cubic
Calculated total energy, eV/atom: -1.984



PmPaAsPt: optimized geometry, GGA-PBE.

a b c (Å): 5.0696 5.0696 5.0696
angles (deg): 60.00 60.00 60.00
With the nearest neighbours (Å) after each atom.
Element x y z (fractional)
1 As 0.2500 0.2500 0.2500  4 Pa 3.10, 4 Pm 3.10
2 Pa 0.5000 0.5000 0.5000  4 Pt 3.10, 4 As 3.10
3 Pt 0.7500 0.7500 0.7500  4 Pa 3.10, 4 Pm 3.10
4 Pm 0.0000 0.0000 0.0000  4 As 3.10, 4 Pt 3.10

Calculated values
Density of states at the Fermi level, states/eV/f.u.: 7.4
DFT formation energy, eV/atom: -0.741
ρ, g/cm³: 11.64
Crystal system: cubic
Calculated total energy, eV/atom: -6.976



TbNbAs2Rh5: optimized geometry, GGA-PBE.

a b c (Å): 4.0062 4.0062 10.9968
angles (deg): 90.00 90.00 90.00
With the nearest neighbours (Å) after each atom.
Element x y z (fractional)
1 Tb 0.5000 0.5000 0.5000  4 Rh 2.83
2 Nb 0.0000 0.0000 0.0000  8 Rh 2.61
3 As 0.0000 0.0000 0.7154  5 Rh 2.37-2.48
4 As 0.0000 0.0000 0.2846  5 Rh 2.37-2.48
5 Rh 0.0000 0.0000 0.5000  2 As 2.37
6 Rh 0.0000 0.5000 0.8481  2 As 2.48, 2 Nb 2.61
7 Rh 0.5000 0.0000 0.1519  2 As 2.48, 2 Nb 2.61
8 Rh 0.0000 0.5000 0.1519  2 As 2.48, 2 Nb 2.61
9 Rh 0.5000 0.0000 0.8481  2 As 2.48, 2 Nb 2.61

Calculated values
Density of states at the Fermi level, states/eV/f.u.: 4.9
DFT formation energy, eV/atom: -0.263
ρ, g/cm³: 8.62
Crystal system: tetragonal
Calculated total energy, eV/atom: -7.014



TmUMn2: optimized geometry, GGA-PBE.

a b c (Å): 4.9634 5.9637 9.4931
angles (deg): 90.00 90.00 90.00
With the nearest neighbours (Å) after each atom.
Element x y z (fractional)
1 Tm 0.7500 0.6801 0.3420  7 Mn 2.85-3.13, 2 U 3.13
2 Tm 0.7500 0.1801 0.1580  7 Mn 2.85-3.13, 2 U 3.13
3 Tm 0.2500 0.3199 0.6580  7 Mn 2.85-3.13, 2 U 3.13
4 Tm 0.2500 0.8199 0.8420  7 Mn 2.85-3.13, 2 U 3.13
5 U 0.2500 0.9987 0.3668  2 Mn 2.13-2.25
6 U 0.7500 0.0013 0.6332  2 Mn 2.13-2.25
7 U 0.2500 0.4987 0.1332  2 Mn 2.13-2.25
8 U 0.7500 0.5013 0.8668  2 Mn 2.13-2.25
9 Mn 0.7500 0.7365 0.0352  1 U 2.13
10 Mn 0.2500 0.2635 0.9648  1 U 2.13
11 Mn 0.7500 0.2365 0.4648  1 U 2.13
12 Mn 0.2500 0.7635 0.5352  1 U 2.13
13 Mn 0.7500 0.0945 0.8626  2 U 2.25-2.43
14 Mn 0.2500 0.4055 0.3626  2 U 2.25-2.43
15 Mn 0.7500 0.5945 0.6374  2 U 2.25-2.43
16 Mn 0.2500 0.9055 0.1374  2 U 2.25-2.43

Calculated values
Density of states at the Fermi level, states/eV/f.u.: 4.8
DFT formation energy, eV/atom: -0.033
ρ, g/cm³: 12.22
Crystal system: orthorhombic
Calculated total energy, eV/atom: -8.558



CdCo2Ru: optimized geometry, GGA-PBE.

a b c (Å): 4.7828 4.7828 4.6310
angles (deg): 75.09 75.09 32.93
With the nearest neighbours (Å) after each atom.
Element x y z (fractional)
1 Cd 0.2569 0.2569 0.2264  7 Co 2.68-2.73, 2 Cd 2.71, 3 Ru 2.86-2.90
2 Co 0.0206 0.0206 0.9886  4 Co 2.45-2.71, 2 Ru 2.54, 3 Cd 2.68-2.73
3 Co 0.7405 0.7405 0.7340  4 Co 2.45-2.71, 3 Ru 2.54-2.72, 4 Cd 2.68-2.69
4 Ru 0.4821 0.4821 0.5510  5 Co 2.54-2.72, 2 Ru 2.71

Calculated values
Density of states at the Fermi level, states/eV/f.u.: 5.5
DFT formation energy, eV/atom: 0.345
ρ, g/cm³: 9.92
Crystal system: monoclinic
Calculated total energy, eV/atom: -5.756



Cd2TcNi: optimized geometry, GGA-PBE.

a b c (Å): 4.4929 2.7223 5.4363
angles (deg): 80.02 90.00 90.00
With the nearest neighbours (Å) after each atom.
Element x y z (fractional)
1 Cd 0.0000 0.0690 0.0077  2 Ni 2.69, 5 Cd 2.72-2.97, 2 Tc 2.86
2 Cd 0.0000 0.4310 0.4923  2 Ni 2.69, 5 Cd 2.72-2.97, 2 Tc 2.86
3 Ni 0.5000 0.2500 0.2500  4 Cd 2.69, 2 Ni 2.72, 2 Tc 2.82
4 Tc 0.5000 0.7500 0.7500  2 Tc 2.72, 2 Ni 2.82, 4 Cd 2.86

Calculated values
Density of states at the Fermi level, states/eV/f.u.: 4.2
DFT formation energy, eV/atom: 0.420
ρ, g/cm³: 9.67
Crystal system: monoclinic
Calculated total energy, eV/atom: -4.075



YSc2In2: optimized geometry, GGA-PBE.

a b c (Å): 4.7861 4.7861 6.4608
angles (deg): 89.99 89.99 113.76
With the nearest neighbours (Å) after each atom.
Element x y z (fractional)
1 Y 0.0000 0.0000 0.0000  4 In 3.13
2 Sc 0.1701 0.8299 0.5000  3 Sc 2.73-2.91, 2 In 3.05
3 Sc 0.8299 0.1701 0.5000  3 Sc 2.73-2.91, 2 In 3.05
4 In 0.5001 0.5001 0.7343  1 In 3.03, 6 Sc 3.05-3.32, 2 Y 3.13
5 In 0.4999 0.4999 0.2657  1 In 3.03, 6 Sc 3.05-3.32, 2 Y 3.13

Calculated values
Density of states at the Fermi level, states/eV/f.u.: 4.8
DFT formation energy, eV/atom: -0.049
ρ, g/cm³: 5.01
Crystal system: orthorhombic
Calculated total energy, eV/atom: -4.969